## Pr4C2Br5 (PBE)

Data for a relaxed structure of Pr4C2Br5.

Output
* calculated volume: 28.67 Å³/atom
* Fermi-level density of states: 0.74 states/eV per cell
* raw total energy: -5.537 eV/atom
* size of the total moment: 0.000 μB/cell
* formation energy from raw total energies: -14.98 eV/f.u.

Cell lengths 3.9630, 8.3802, 10.0488 Å; angles 105.10, 101.38, 90.00 degrees
With the nearest neighbours (Å) after each atom.
Fractional positions:
Pr1 0.0002 0.2973 0.0005  4 C 2.70-2.71
Pr2 0.3428 0.3940 0.6858  1 C 2.28
Pr3 0.9998 0.7027 0.9995  4 C 2.70-2.71
Pr4 0.6572 0.6060 0.3142  1 C 2.28
C1 0.5370 0.5242 0.0739  1 C 1.40
C2 0.4630 0.4758 0.9261  1 C 1.40
Br1 0.1670 0.3370 0.3338  4 Pr 3.05-3.37
Br2 0.1601 0.8740 0.3200  3 Pr 2.98-3.10
Br3 0.8399 0.1260 0.6800  3 Pr 2.98-3.10
Br4 0.8330 0.6630 0.6662  4 Pr 3.05-3.37
Br5 0.5000 0.0000 0.0000  4 Pr 3.18